The following is a PBE-GGA calculation of a geometry-optimized YTa3O9 structure, from Alexandria via LeMat-Bulk.

Cell: 7.525 5.314 8.312 Å, 87.55 90.00 90.00°
Fractional positions:
O1 0.250 0.663 0.655
O2 0.957 0.742 0.467
O3 0.750 0.423 0.686
O4 0.543 0.742 0.467
O5 0.564 0.851 0.785
O6 0.750 0.337 0.345
O7 0.457 0.258 0.533
O8 0.250 0.905 0.979
O9 0.250 0.577 0.314
O10 0.947 0.676 0.121
O11 0.553 0.676 0.121
O12 0.436 0.149 0.215
O13 0.043 0.258 0.533
O14 0.750 0.095 0.021
O15 0.064 0.149 0.215
O16 0.053 0.324 0.879
O17 0.447 0.324 0.879
O18 0.936 0.851 0.785
Ta1 0.000 0.000 0.000
Ta2 0.500 0.000 0.000
Ta3 0.007 0.528 0.697
Ta4 0.507 0.472 0.303
Ta5 0.493 0.528 0.697
Ta6 0.993 0.472 0.303
Y1 0.250 0.965 0.435
Y2 0.750 0.035 0.565

- Magnetic moment: 0.000 μB per atom
- Raw formation energy: -292.45 kJ/mol of atoms
- Space group: P2_1/m